The following is a DFT calculation (PBE+U) of a relaxed Mn2Be2O crystal.

Offset from the most stable computed form, meV/atom: 0
Calculated total energy, eV/atom: -5.306
Spin magnetization, μB/f.u.: 8.4

Cell lengths 5.1941, 5.1941, 4.4036 Å; angles 90.00, 90.00, 90.00 degrees
Each line ends with the local moment (μB).
Sites, in units of the cell vectors:
1 Be 0.8465 0.6535 0.0000  -0.07
2 Be 0.3465 0.8465 0.0000  -0.09
3 Be 0.6535 0.1535 0.0000  -0.09
4 Be 0.1535 0.3465 0.0000  -0.07
5 O 0.5000 0.5000 0.0000  0.17
6 O 0.0000 0.0000 0.0000  0.16
7 Mn 0.8324 0.3324 0.5000  4.11
8 Mn 0.3324 0.1676 0.5000  4.13
9 Mn 0.1676 0.6676 0.5000  4.11
10 Mn 0.6676 0.8324 0.5000  4.13